## one
A relaxed ZnB2C crystal, computed with PBE.

Unit cell a=4.6574 b=4.6574 c=7.0109 alpha=90.00 beta=90.00 gamma=90.00
Sites, in units of the cell vectors:
Zn 0.0000 0.0000 0.0000
Zn 0.0000 0.5000 0.2500
Zn 0.5000 0.0000 0.7500
Zn 0.5000 0.5000 0.5000
B 0.1416 0.2500 0.6250
B 0.2500 0.6416 0.8750
B 0.2500 0.8584 0.3750
B 0.3584 0.2500 0.1250
B 0.6416 0.7500 0.1250
B 0.7500 0.1416 0.3750
B 0.7500 0.3584 0.8750
B 0.8584 0.7500 0.6250
C 0.0000 0.0000 0.5000
C 0.0000 0.5000 0.7500
C 0.5000 0.0000 0.2500
C 0.5000 0.5000 0.0000

DOS at the Fermi energy: 0.0171 states/eV/atom
Symmetry: No. 122

## two
A relaxed ZnB2C crystal, computed with PBE.

Unit cell a=5.2772 b=5.2772 c=5.2772 alpha=90.00 beta=90.00 gamma=90.00
Sites, in units of the cell vectors:
Zn 0.0000 0.0000 0.0000
Zn 0.0000 0.5000 0.5000
Zn 0.5000 0.0000 0.5000
Zn 0.5000 0.5000 0.0000
B 0.2500 0.2500 0.2500
B 0.2500 0.2500 0.7500
B 0.2500 0.7500 0.2500
B 0.2500 0.7500 0.7500
B 0.7500 0.2500 0.2500
B 0.7500 0.2500 0.7500
B 0.7500 0.7500 0.2500
B 0.7500 0.7500 0.7500
C 0.0000 0.0000 0.5000
C 0.0000 0.5000 0.0000
C 0.5000 0.0000 0.0000
C 0.5000 0.5000 0.5000

DOS at the Fermi energy: 0.6110 states/eV/atom
Symmetry: No. 225

Preferred: one; penalty for the next structure: 1.810 eV/atom.

## one
A relaxed ZnBC3 crystal, computed with PBE.

Unit cell a=3.9266 b=3.9266 c=3.9266 alpha=90.00 beta=90.00 gamma=90.00
Sites, in units of the cell vectors:
Zn 0.0000 0.0000 0.0000
B 0.5000 0.5000 0.5000
C 0.0000 0.0000 0.5000
C 0.0000 0.5000 0.0000
C 0.5000 0.0000 0.0000

DOS at the Fermi energy: 0.7573 states/eV/atom
Symmetry: No. 221

## two
A relaxed ZnBC3 crystal, computed with PBE.

Unit cell a=3.5117 b=3.5117 c=3.5117 alpha=90.00 beta=90.00 gamma=90.00
Sites, in units of the cell vectors:
Zn 0.0000 0.0000 0.0000
B 0.5000 0.5000 0.5000
C 0.0000 0.5000 0.5000
C 0.5000 0.0000 0.5000
C 0.5000 0.5000 0.0000

DOS at the Fermi energy: 0.3997 states/eV/atom
Symmetry: No. 221

Preferred: two; penalty for the next structure: 1.368 eV/atom.

## one
A relaxed Zr2BC crystal, computed with PBE.

Unit cell a=3.3681 b=3.3681 c=17.0364 alpha=90.00 beta=90.00 gamma=120.00
Sites, in units of the cell vectors:
Zr 0.0000 0.0000 0.2454
Zr 0.0000 0.0000 0.7546
Zr 0.3333 0.6667 0.4213
Zr 0.3333 0.6667 0.9121
Zr 0.6667 0.3333 0.0879
Zr 0.6667 0.3333 0.5787
B 0.0000 0.0000 0.0000
B 0.3333 0.6667 0.6667
B 0.6667 0.3333 0.3333
C 0.0000 0.0000 0.5000
C 0.3333 0.6667 0.1667
C 0.6667 0.3333 0.8333

DOS at the Fermi energy: 0.5671 states/eV/atom
Symmetry: No. 166

## two
A relaxed Zr2BC crystal, computed with PBE.

Unit cell a=6.1316 b=6.1316 c=6.3159 alpha=90.00 beta=90.00 gamma=90.00
Sites, in units of the cell vectors:
Zr 0.2316 0.2500 0.1250
Zr 0.2500 0.7316 0.3750
Zr 0.2500 0.7684 0.8750
Zr 0.2684 0.2500 0.6250
Zr 0.7316 0.7500 0.6250
Zr 0.7500 0.2316 0.8750
Zr 0.7500 0.2684 0.3750
Zr 0.7684 0.7500 0.1250
B 0.0000 0.0000 0.5000
B 0.0000 0.5000 0.7500
B 0.5000 0.0000 0.2500
B 0.5000 0.5000 0.0000
C 0.0000 0.0000 0.0000
C 0.0000 0.5000 0.2500
C 0.5000 0.0000 0.7500
C 0.5000 0.5000 0.5000

DOS at the Fermi energy: 0.5232 states/eV/atom
Symmetry: No. 122

## three
A relaxed Zr2BC crystal, computed with PBE.

Unit cell a=5.9827 b=5.9827 c=5.9827 alpha=90.00 beta=90.00 gamma=90.00
Sites, in units of the cell vectors:
Zr 0.2500 0.2500 0.2500
Zr 0.2500 0.2500 0.7500
Zr 0.2500 0.7500 0.2500
Zr 0.2500 0.7500 0.7500
Zr 0.7500 0.2500 0.2500
Zr 0.7500 0.2500 0.7500
Zr 0.7500 0.7500 0.2500
Zr 0.7500 0.7500 0.7500
B 0.0000 0.0000 0.0000
B 0.0000 0.5000 0.5000
B 0.5000 0.0000 0.5000
B 0.5000 0.5000 0.0000
C 0.0000 0.0000 0.5000
C 0.0000 0.5000 0.0000
C 0.5000 0.0000 0.0000
C 0.5000 0.5000 0.5000

DOS at the Fermi energy: 1.7144 states/eV/atom
Symmetry: No. 225

## four
A relaxed Zr2BC crystal, computed with PBE.

Unit cell a=3.4317 b=19.3981 c=3.2720 alpha=90.00 beta=90.00 gamma=90.00
Sites, in units of the cell vectors:
Zr 0.0000 0.0703 0.2500
Zr 0.0000 0.3076 0.2500
Zr 0.0000 0.6924 0.7500
Zr 0.0000 0.9297 0.7500
Zr 0.5000 0.1924 0.7500
Zr 0.5000 0.4297 0.7500
Zr 0.5000 0.5703 0.2500
Zr 0.5000 0.8076 0.2500
B 0.0000 0.4763 0.2500
B 0.0000 0.5237 0.7500
B 0.5000 0.0237 0.7500
B 0.5000 0.9763 0.2500
C 0.0000 0.1891 0.2500
C 0.0000 0.8109 0.7500
C 0.5000 0.3109 0.7500
C 0.5000 0.6891 0.2500

DOS at the Fermi energy: 0.3690 states/eV/atom
Symmetry: No. 63

Preferred: four; penalty for the next structure: 0.163 eV/atom.

## one
A relaxed ZrBC3 crystal, computed with PBE.

Unit cell a=4.3598 b=4.3598 c=4.3598 alpha=90.00 beta=90.00 gamma=90.00
Sites, in units of the cell vectors:
Zr 0.0000 0.0000 0.0000
B 0.5000 0.5000 0.5000
C 0.0000 0.0000 0.5000
C 0.0000 0.5000 0.0000
C 0.5000 0.0000 0.0000

DOS at the Fermi energy: 0.4561 states/eV/atom
Symmetry: No. 221

## two
A relaxed ZrBC3 crystal, computed with PBE.

Unit cell a=3.5345 b=3.5345 c=3.5345 alpha=90.00 beta=90.00 gamma=90.00
Sites, in units of the cell vectors:
Zr 0.0000 0.0000 0.0000
B 0.5000 0.5000 0.5000
C 0.0000 0.5000 0.5000
C 0.5000 0.0000 0.5000
C 0.5000 0.5000 0.0000

DOS at the Fermi energy: 0.4885 states/eV/atom
Symmetry: No. 221

Preferred: two; penalty for the next structure: 1.700 eV/atom.